Record 1
This record from Alexandria via LeMat-Bulk describes a relaxed Nd4Zn2CuHg crystal. The functional is PBE-GGA.

The structure belongs to space group R-3m (No. 166, hexagonal axes); the cell edges are 5.2440, 5.2440 and 25.6893 Å and the angles 90.00°, 90.00° and 120.00°. The inequivalent atoms are Nd at (0.0000, 0.0000, 0.1199), Nd at (0.0000, 0.0000, 0.3705), Zn at (0.0000, 0.0000, 0.2476), Cu at (0.0000, 0.0000, 0.0000) and Hg at (0.0000, 0.0000, 0.5000).

Its uncorrected energy is -85.095 eV/cell. The density of states at the Fermi level is 26.594 states/eV/cell.

Record 2
This record from Alexandria via LeMat-Bulk describes a relaxed La4NiSeI2 crystal. The functional is PBE-GGA.

The structure belongs to space group P2/m (No. 10); the cell edges are 7.718, 4.168 and 8.234 Å and the angles 90.00°, 106.99° and 90.00°. The inequivalent atoms are La at (0.209, 0.000, 0.192), La at (0.261, 0.500, 0.794), Ni at (0.000, 0.500, 0.000), Se at (0.500, 0.000, 0.000), I at (0.000, 0.000, 0.500) and I at (0.500, 0.500, 0.500).

The value obtained for the raw formation energy is -1.1207 eV/atom. The density of states at the Fermi level is 5.014 states/eV/cell.

Record 3
This record from Alexandria via LeMat-Bulk describes a relaxed ScAs2Br crystal. The functional is PBE-GGA.

The structure belongs to space group Cm (No. 8); the cell edges are 8.320, 3.705 and 8.097 Å and the angles 90.00°, 107.39° and 90.00°. The inequivalent atoms are Sc at (0.000, 0.000, 0.000), As at (0.235, 0.000, 0.835), As at (0.456, 0.000, 0.709) and Br at (0.131, 0.500, 0.242).

The value obtained for the raw formation energy is -0.6978 eV/atom. The density of states at the Fermi level is 3.125 states/eV/cell.

Record 4
This record from Alexandria via LeMat-Bulk describes a relaxed CaMnCl2 crystal. The functional is PBE-GGA.

The structure belongs to space group Fm-3m (No. 225); the cell edges are 7.066, 7.066 and 7.066 Å and the angles 90.00°, 90.00° and 90.00°. The inequivalent atoms are Ca at (0.000, 0.000, 0.000), Mn at (0.000, 0.000, 0.500) and Cl at (0.250, 0.250, 0.250).

The value obtained for the raw formation energy is -0.7084 eV/atom. The density of states at the Fermi level is 20.547 states/eV/cell.

Record 5
This record from Alexandria via LeMat-Bulk describes a relaxed CoMo2W crystal. The functional is PBE-GGA.

The structure belongs to space group C2/m (No. 12); the cell edges are 5.341, 8.789 and 2.682 Å and the angles 90.00°, 108.82° and 90.00°. The inequivalent atoms are Co at (0.000, 0.000, 0.000), Mo at (0.250, 0.250, 0.500) and W at (0.000, 0.500, 0.000).

Its uncorrected energy is -82.139 eV/cell. The density of states at the Fermi level is 8.915 states/eV/cell.

Record 6
This record from Alexandria via LeMat-Bulk describes a relaxed CaSm12Ho6 crystal. The functional is PBE-GGA.

The structure belongs to space group R-3m (No. 166, hexagonal axes); the cell edges are 13.2938, 13.2938 and 12.9002 Å and the angles 90.00°, 90.00° and 120.00°. The inequivalent atoms are Ca at (0.0000, 0.0000, 0.0000), Sm at (0.0000, 0.2605, 0.5000), Sm at (0.0911, 0.1822, 0.2676) and Ho at (0.0377, 0.5189, 0.6180).

Its uncorrected energy is -247.410 eV/cell. The density of states at the Fermi level is 92.929 states/eV/cell.